Material: PmHo8Er2
Method: DFT, PBE
State: relaxed

The polymorph energy (0 for the lowest one) comes out at 36 meV per atom. The value obtained for the energy of formation from the pure elements is 0.15 eV/atom.

The space group is C2/m (No. 12) and the conventional cell measures 19.0179, 6.8864 and 5.5006 Å, with angles of 90.00, 92.84 and 90.00 degrees. Symmetry generates all atoms from Pm at (0.0000, 0.0000, 0.0000), Ho at (0.0470, 0.5000, 0.2378), Ho at (0.1337, 0.2663, 0.7323), Ho at (0.1885, 0.0000, 0.2335) and Er at (0.2157, 0.5000, 0.2503).

Material: Rb2YMgI6
Method: DFT, PBE
State: relaxed

The calculation puts the formation energy from raw total energies at -1.187 eV/atom.

The space group is I4/mmm (No. 139) and the conventional cell measures 8.7106, 8.7106 and 12.3071 Å, with angles of 90.00, 90.00 and 90.00 degrees. Symmetry generates all atoms from Rb at (0.0000, 0.5000, 0.2500), Y at (0.0000, 0.0000, 0.0000), Mg at (0.0000, 0.0000, 0.5000), I at (0.0000, 0.0000, 0.2479) and I at (0.2476, 0.2476, 0.0000).